(1)
{
  "formula": "RbYMg3",
  "functional": "PBE",
  "state": "optimized geometry",
  "lattice_angstrom": [[5.6830, 0.0000, 0.0000], [0.0000, 5.6830, 0.0000], [0.0000, 0.0000, 5.6830]],
  "species": ["Rb", "Y", "Mg", "Mg", "Mg"],
  "fractional_positions": [[0.0000, 0.0000, 0.0000], [0.5000, 0.5000, 0.5000], [0.0000, 0.0000, 0.5000], [0.0000, 0.5000, 0.0000], [0.5000, 0.0000, 0.0000]],
  "relative_energy_mev_per_atom": 439.9,
  "density_g_cm3": 2.24,
  "ef_ev_per_atom": 1.084
}

=====

(2)
{
  "formula": "RbYMg6",
  "functional": "PBE",
  "state": "optimized geometry",
  "lattice_angstrom": [[5.3753, 0.0000, 0.0000], [0.0000, 7.0078, 0.0000], [0.0000, 0.0000, 12.1391]],
  "species": ["Rb", "Rb", "Y", "Y", "Mg", "Mg", "Mg", "Mg", "Mg", "Mg", "Mg", "Mg", "Mg", "Mg", "Mg", "Mg"],
  "fractional_positions": [[0.0000, 0.0000, 0.0000], [0.0000, 0.5000, 0.5000], [0.5000, 0.0000, 0.3338], [0.5000, 0.5000, 0.8338], [0.0000, 0.0000, 0.4999], [0.0000, 0.2492, 0.2504], [0.0000, 0.2508, 0.7504], [0.0000, 0.5000, 0.9999], [0.0000, 0.7492, 0.7504], [0.0000, 0.7508, 0.2504], [0.5000, 0.0000, 0.8170], [0.5000, 0.2254, 0.5921], [0.5000, 0.2746, 0.0921], [0.5000, 0.5000, 0.3170], [0.5000, 0.7254, 0.0921], [0.5000, 0.7746, 0.5921]],
  "relative_energy_mev_per_atom": 0.0,
  "density_g_cm3": 2.33,
  "ef_ev_per_atom": 0.140
}

=====

(3)
{
  "formula": "RbY3Mg",
  "functional": "PBE",
  "state": "optimized geometry",
  "lattice_angstrom": [[5.5548, 0.0000, 0.0000], [0.0000, 5.5548, 0.0000], [0.0000, 0.0000, 5.5548]],
  "species": ["Rb", "Y", "Y", "Y", "Mg"],
  "fractional_positions": [[0.0000, 0.0000, 0.0000], [0.0000, 0.0000, 0.5000], [0.0000, 0.5000, 0.0000], [0.5000, 0.0000, 0.0000], [0.5000, 0.5000, 0.5000]],
  "relative_energy_mev_per_atom": 584.3,
  "density_g_cm3": 3.65,
  "ef_ev_per_atom": 1.246
}

=====

(4)
{
  "formula": "RbY3Mg",
  "functional": "PBE",
  "state": "optimized geometry",
  "lattice_angstrom": [[5.8834, 0.0000, 0.0000], [0.0000, 5.8834, 0.0000], [0.0000, 0.0000, 5.8834]],
  "species": ["Rb", "Y", "Y", "Y", "Mg"],
  "fractional_positions": [[0.0000, 0.0000, 0.0000], [0.0000, 0.5000, 0.5000], [0.5000, 0.0000, 0.5000], [0.5000, 0.5000, 0.0000], [0.5000, 0.5000, 0.5000]],
  "relative_energy_mev_per_atom": 0.0,
  "density_g_cm3": 3.07,
  "ef_ev_per_atom": 0.662
}

=====

Repeat the third record exactly.
{
  "formula": "RbY3Mg",
  "functional": "PBE",
  "state": "optimized geometry",
  "lattice_angstrom": [[5.5548, 0.0000, 0.0000], [0.0000, 5.5548, 0.0000], [0.0000, 0.0000, 5.5548]],
  "species": ["Rb", "Y", "Y", "Y", "Mg"],
  "fractional_positions": [[0.0000, 0.0000, 0.0000], [0.0000, 0.0000, 0.5000], [0.0000, 0.5000, 0.0000], [0.5000, 0.0000, 0.0000], [0.5000, 0.5000, 0.5000]],
  "relative_energy_mev_per_atom": 584.3,
  "density_g_cm3": 3.65,
  "ef_ev_per_atom": 1.246
}